No. 1
# KSb5

An optimized crystal structure of KSb5 (GGA-PBE, Alexandria via LeMat-Bulk).

Cell lengths 7.654, 7.654, 8.559 Å; angles 105.50, 105.50, 32.93 degrees
Fractional coordinates of all 6 atoms:
K 0.000 0.000 0.000
Sb 0.167 0.167 0.748
Sb 0.317 0.317 0.356
Sb 0.349 0.349 0.699
Sb 0.680 0.680 0.268
Sb 0.748 0.748 0.973

ΔE_f (raw): -14.0 meV/atom
ΔE to the lowest computed polymorph: 0.0 meV per atom

No. 2
# Tm3Al2Cu

An optimized crystal structure of Tm3Al2Cu (GGA-PBE, Alexandria via LeMat-Bulk).

Cell lengths 3.380, 3.380, 11.405 Å; angles 90.00, 90.00, 90.00 degrees
Fractional coordinates of all 6 atoms:
Tm 0.000 0.000 0.000
Tm 0.000 0.000 0.348
Tm 0.000 0.000 0.652
Al 0.500 0.500 0.175
Al 0.500 0.500 0.825
Cu 0.500 0.500 0.500

Total energy: -4.5264 eV/atom

No. 3
# Sm2SnS5

An optimized crystal structure of Sm2SnS5 (GGA-PBE, Alexandria via LeMat-Bulk).

Cell lengths 7.840, 11.481, 3.885 Å; angles 90.00, 90.00, 90.00 degrees
Fractional coordinates of all 16 atoms:
Sm 0.034 0.173 0.000
Sm 0.466 0.673 0.000
Sm 0.534 0.327 0.000
Sm 0.966 0.827 0.000
Sn 0.000 0.500 0.500
Sn 0.500 0.000 0.500
S 0.000 0.000 0.500
S 0.171 0.407 0.000
S 0.173 0.695 0.500
S 0.327 0.195 0.500
S 0.329 0.907 0.000
S 0.500 0.500 0.500
S 0.671 0.093 0.000
S 0.673 0.805 0.500
S 0.827 0.305 0.500
S 0.829 0.593 0.000

ΔE_f (raw): -1433.8 meV/atom
ΔE to the lowest computed polymorph: 0.0 meV per atom

No. 4
# TbPrPCl

An optimized crystal structure of TbPrPCl (GGA-PBE, Alexandria via LeMat-Bulk).

Cell lengths 7.535, 7.535, 7.535 Å; angles 30.93, 30.93, 30.93 degrees
Fractional coordinates of all 4 atoms:
Tb 0.000 0.000 0.000
Pr 0.808 0.808 0.808
P 0.398 0.398 0.398
Cl 0.576 0.576 0.576

ΔE_f (raw): -1573.8 meV/atom

No. 5
# SrZrAu2

An optimized crystal structure of SrZrAu2 (GGA-PBE, Alexandria via LeMat-Bulk).

Cell lengths 4.951, 4.951, 4.951 Å; angles 60.00, 60.00, 60.00 degrees
Fractional coordinates of all 4 atoms:
Sr 0.000 0.000 0.000
Zr 0.750 0.750 0.750
Au 0.250 0.250 0.250
Au 0.500 0.500 0.500

ΔE to the lowest computed polymorph: 438.8 meV per atom

No. 6
# AgPbIO2

An optimized crystal structure of AgPbIO2 (GGA-PBE, Alexandria via LeMat-Bulk).

Cell lengths 4.233, 4.233, 6.950 Å; angles 90.00, 90.00, 90.00 degrees
Fractional coordinates of all 5 atoms:
Ag 0.000 0.000 0.000
Pb 0.500 0.500 0.500
I 0.500 0.500 0.000
O 0.000 0.500 0.500
O 0.500 0.000 0.500

ΔE_f (raw): -156.9 meV/atom
ΔE to the lowest computed polymorph: 0.0 meV per atom

No. 7
# K4ZrU3Se8

An optimized crystal structure of K4ZrU3Se8 (GGA-PBE, Alexandria via LeMat-Bulk).

Cell lengths 9.142, 9.142, 9.142 Å; angles 53.75, 53.75, 53.75 degrees
Fractional coordinates of all 16 atoms:
K 0.000 0.000 0.000
K 0.000 0.500 0.500
K 0.500 0.000 0.500
K 0.500 0.500 0.000
Zr 0.500 0.500 0.500
U 0.000 0.000 0.500
U 0.000 0.500 0.000
U 0.500 0.000 0.000
Se 0.237 0.237 0.237
Se 0.246 0.730 0.730
Se 0.270 0.270 0.754
Se 0.270 0.754 0.270
Se 0.730 0.246 0.730
Se 0.730 0.730 0.246
Se 0.754 0.270 0.270
Se 0.763 0.763 0.763

ΔE_f (raw): -1255.2 meV/atom

No. 8
# GePdW2

An optimized crystal structure of GePdW2 (GGA-PBE, Alexandria via LeMat-Bulk).

Cell lengths 5.684, 5.684, 5.684 Å; angles 102.91, 102.91, 123.59 degrees
Fractional coordinates of all 8 atoms:
Ge 0.000 0.000 0.000
Ge 0.750 0.250 0.500
Pd 0.250 0.750 0.500
Pd 0.500 0.500 0.000
W 0.112 0.625 0.987
W 0.375 0.362 0.487
W 0.638 0.125 0.013
W 0.875 0.888 0.513

Total energy: -8.2657 eV/atom

No. 9
# Cs5K2Na12

An optimized crystal structure of Cs5K2Na12 (GGA-PBE, Alexandria via LeMat-Bulk).

Cell lengths 12.986, 12.986, 9.636 Å; angles 92.33, 92.33, 43.16 degrees
Fractional coordinates of all 19 atoms:
Cs 0.000 0.000 0.000
Cs 0.247 0.247 0.937
Cs 0.300 0.300 0.450
Cs 0.700 0.700 0.550
Cs 0.753 0.753 0.063
K 0.264 0.736 0.500
K 0.736 0.264 0.500
Na 0.057 0.677 0.750
Na 0.125 0.125 0.604
Na 0.208 0.592 0.140
Na 0.323 0.943 0.250
Na 0.408 0.792 0.860
Na 0.453 0.453 0.843
Na 0.547 0.547 0.157
Na 0.592 0.208 0.140
Na 0.677 0.057 0.750
Na 0.792 0.408 0.860
Na 0.875 0.875 0.396
Na 0.943 0.323 0.250

Total energy: -1.1408 eV/atom

No. 10
# Ca2ZnMo

An optimized crystal structure of Ca2ZnMo (GGA-PBE, Alexandria via LeMat-Bulk).

Cell lengths 5.876, 5.876, 5.060 Å; angles 115.24, 115.24, 34.49 degrees
Fractional coordinates of all 4 atoms:
Ca 0.235 0.235 0.235
Ca 0.765 0.765 0.765
Zn 0.500 0.500 0.000
Mo 0.000 0.000 0.500

Total energy: -3.3675 eV/atom

No. 11
# ErZrTa4

An optimized crystal structure of ErZrTa4 (GGA-PBE, Alexandria via LeMat-Bulk).

Cell lengths 5.632, 5.632, 5.632 Å; angles 60.00, 60.00, 60.00 degrees
Fractional coordinates of all 6 atoms:
Er 0.000 0.000 0.000
Zr 0.250 0.250 0.250
Ta 0.125 0.625 0.625
Ta 0.625 0.125 0.625
Ta 0.625 0.625 0.125
Ta 0.625 0.625 0.625

Total energy: -9.9112 eV/atom

No. 12
# As2Pb

An optimized crystal structure of As2Pb (GGA-PBE, Alexandria via LeMat-Bulk).

Cell lengths 5.919, 5.919, 9.325 Å; angles 90.00, 90.00, 120.00 degrees
Fractional coordinates of all 12 atoms:
As 0.000 0.000 0.000
As 0.000 0.000 0.500
As 0.175 0.350 0.250
As 0.175 0.825 0.250
As 0.350 0.175 0.750
As 0.650 0.825 0.250
As 0.825 0.175 0.750
As 0.825 0.650 0.750
Pb 0.333 0.667 0.562
Pb 0.333 0.667 0.938
Pb 0.667 0.333 0.062
Pb 0.667 0.333 0.438

ΔE to the lowest computed polymorph: 186.6 meV per atom

No. 13
# InClF

An optimized crystal structure of InClF (GGA-PBE, Alexandria via LeMat-Bulk).

Cell lengths 5.652, 5.159, 5.159 Å; angles 99.38, 90.00, 90.00 degrees
Fractional coordinates of all 6 atoms:
In 0.250 0.172 0.828
In 0.750 0.828 0.172
Cl 0.250 0.682 0.943
Cl 0.750 0.943 0.682
F 0.250 0.124 0.421
F 0.750 0.421 0.124

ΔE_f (raw): -1309.7 meV/atom

No. 14
# YMn3Re

An optimized crystal structure of YMn3Re (GGA-PBE, Alexandria via LeMat-Bulk).

Cell lengths 4.652, 4.652, 4.652 Å; angles 90.00, 90.00, 90.00 degrees
Fractional coordinates of all 5 atoms:
Y 0.000 0.000 0.000
Mn 0.000 0.500 0.500
Mn 0.500 0.000 0.500
Mn 0.500 0.500 0.000
Re 0.500 0.500 0.500

ΔE to the lowest computed polymorph: 0.0 meV per atom

No. 15
# TlZnAg2

An optimized crystal structure of TlZnAg2 (GGA-PBE, Alexandria via LeMat-Bulk).

Cell lengths 3.429, 4.718, 4.898 Å; angles 90.00, 90.00, 90.00 degrees
Fractional coordinates of all 4 atoms:
Tl 0.000 0.000 0.000
Zn 0.500 0.000 0.500
Ag 0.000 0.500 0.500
Ag 0.500 0.500 0.000

Total energy: -2.1792 eV/atom

No. 16
# Ac2TbNdSb4

An optimized crystal structure of Ac2TbNdSb4 (GGA-PBE, Alexandria via LeMat-Bulk).

Cell lengths 8.022, 4.635, 8.027 Å; angles 90.00, 109.46, 90.00 degrees
Fractional coordinates of all 8 atoms:
Ac 0.000 0.000 0.000
Ac 0.500 0.500 0.000
Tb 0.000 0.500 0.500
Nd 0.500 0.000 0.500
Sb 0.240 0.000 0.730
Sb 0.252 0.500 0.267
Sb 0.748 0.500 0.733
Sb 0.760 0.000 0.270

ΔE_f (raw): -1174.3 meV/atom

No. 17
# BaLiZnNi

An optimized crystal structure of BaLiZnNi (GGA-PBE, Alexandria via LeMat-Bulk).

Cell lengths 4.376, 4.376, 6.148 Å; angles 110.97, 110.97, 60.27 degrees
Fractional coordinates of all 4 atoms:
Ba 0.000 0.000 0.000
Li 0.187 0.187 0.557
Zn 0.484 0.484 0.449
Ni 0.803 0.803 0.407

Total energy: -2.8191 eV/atom

No. 18
# Ce2CoCu

An optimized crystal structure of Ce2CoCu (GGA-PBE, Alexandria via LeMat-Bulk).

Cell lengths 3.478, 3.478, 6.659 Å; angles 90.00, 90.00, 90.00 degrees
Fractional coordinates of all 4 atoms:
Ce 0.000 0.000 0.222
Ce 0.000 0.000 0.778
Co 0.500 0.500 0.000
Cu 0.500 0.500 0.500

ΔE to the lowest computed polymorph: 0.0 meV per atom

No. 19
# ErLuSnHg

An optimized crystal structure of ErLuSnHg (GGA-PBE, Alexandria via LeMat-Bulk).

Cell lengths 5.222, 5.222, 5.222 Å; angles 60.00, 60.00, 60.00 degrees
Fractional coordinates of all 4 atoms:
Er 0.000 0.000 0.000
Lu 0.500 0.500 0.500
Sn 0.750 0.750 0.750
Hg 0.250 0.250 0.250

Total energy: -3.8507 eV/atom

No. 20
# Mg2AsAu2

An optimized crystal structure of Mg2AsAu2 (GGA-PBE, Alexandria via LeMat-Bulk).

Cell lengths 7.767, 7.767, 3.232 Å; angles 90.00, 90.00, 90.00 degrees
Fractional coordinates of all 10 atoms:
Mg 0.161 0.339 0.000
Mg 0.339 0.839 0.000
Mg 0.661 0.161 0.000
Mg 0.839 0.661 0.000
As 0.000 0.000 0.000
As 0.500 0.500 0.000
Au 0.134 0.634 0.500
Au 0.366 0.134 0.500
Au 0.634 0.866 0.500
Au 0.866 0.366 0.500

ΔE to the lowest computed polymorph: 98.0 meV per atom